[1]
Compound: LaY2Cu
Source: Alexandria
Functional: PBE
Structure: relaxed

Cell: 3.5466 3.5466 8.8946 Å, 90.00 90.00 90.00°
Atoms (fractional coordinates):
La 0.0000 0.0000 0.0000
Y 0.5000 0.5000 0.3121
Y 0.5000 0.5000 0.6879
Cu 0.0000 0.0000 0.5000

**Energy**: -5.580 eV/atom
**Formation energy from the elements**: -8.9 kJ per mole of atoms
**Polymorph energy (0 for the lowest one)**: 0.000 eV/atom
**Mass density**: 5.644 g/cm³
**M_tot**: 0.0 μB/f.u.

---

[2]
Compound: LaY2Cu
Source: Alexandria
Functional: PBE
Structure: relaxed

Cell: 5.4012 5.4012 5.4012 Å, 60.00 60.00 60.00°
Atoms (fractional coordinates):
La 0.0000 0.0000 0.0000
Y 0.2500 0.2500 0.2500
Y 0.5000 0.5000 0.5000
Cu 0.7500 0.7500 0.7500

**Energy**: -5.273 eV/atom
**Formation energy from the elements**: 20.7 kJ per mole of atoms
**Polymorph energy (0 for the lowest one)**: 0.306 eV/atom
**Mass density**: 5.667 g/cm³
**M_tot**: 0.0 μB/f.u.

---

[3]
Compound: LaYCu10
Source: Alexandria
Functional: PBE
Structure: relaxed

Cell: 4.1137 5.1290 8.8079 Å, 90.00 90.00 90.00°
Atoms (fractional coordinates):
La 0.0000 0.0000 0.0000
Y 0.0000 0.5000 0.5000
Cu 0.0000 0.0000 0.3388
Cu 0.0000 0.0000 0.6612
Cu 0.0000 0.5000 0.1716
Cu 0.0000 0.5000 0.8284
Cu 0.5000 0.0000 0.5000
Cu 0.5000 0.2539 0.2565
Cu 0.5000 0.2539 0.7435
Cu 0.5000 0.5000 0.0000
Cu 0.5000 0.7461 0.2565
Cu 0.5000 0.7461 0.7435

**Energy**: -4.538 eV/atom
**Formation energy from the elements**: -16.9 kJ per mole of atoms
**Mass density**: 7.714 g/cm³
**M_tot**: 0.0 μB/f.u.

---

[4]
Compound: LaY2Cu
Source: Alexandria
Functional: PBE
Structure: relaxed

Cell: 6.1380 6.1380 3.5450 Å, 101.88 101.88 115.59°
Atoms (fractional coordinates):
La 0.0000 0.0000 0.0000
Y 0.0000 0.5000 0.5000
Y 0.5000 0.0000 0.5000
Cu 0.5000 0.5000 0.0000

**Energy**: -5.252 eV/atom
**Formation energy from the elements**: 22.8 kJ per mole of atoms
**Polymorph energy (0 for the lowest one)**: 0.328 eV/atom
**Mass density**: 5.683 g/cm³
**M_tot**: 0.0 μB/f.u.

---

[5]
Compound: LaYCu2
Source: Alexandria
Functional: PBE
Structure: relaxed

Cell: 6.2043 6.2043 4.5814 Å, 110.93 110.93 33.73°
Atoms (fractional coordinates):
La 0.0000 0.0000 0.0000
Y 0.7811 0.7811 0.2907
Cu 0.2259 0.2259 0.7359
Cu 0.5676 0.5676 0.5661

**Energy**: -4.959 eV/atom
**Formation energy from the elements**: -6.1 kJ per mole of atoms
**Polymorph energy (0 for the lowest one)**: 0.134 eV/atom
**Mass density**: 6.487 g/cm³
**M_tot**: 0.0 μB/f.u.

---

[6]
Compound: LaYCu2
Source: Alexandria
Functional: PBE
Structure: relaxed

Cell: 5.0592 5.0592 5.0592 Å, 60.00 60.00 60.00°
Atoms (fractional coordinates):
La 0.0000 0.0000 0.0000
Y 0.5000 0.5000 0.5000
Cu 0.2500 0.2500 0.2500
Cu 0.7500 0.7500 0.7500

**Energy**: -5.066 eV/atom
**Formation energy from the elements**: -16.4 kJ per mole of atoms
**Polymorph energy (0 for the lowest one)**: 0.026 eV/atom
**Mass density**: 6.436 g/cm³
**M_tot**: 0.0 μB/f.u.

---

[7]
Compound: LaYCu2
Source: Alexandria
Functional: PBE
Structure: relaxed

Cell: 6.4249 6.4249 6.4249 Å, 107.47 107.47 113.55°
Atoms (fractional coordinates):
La 0.0000 0.0000 0.0000
La 0.7500 0.2500 0.5000
Y 0.2500 0.7500 0.5000
Y 0.5000 0.5000 0.0000
Cu 0.1367 0.6250 0.0117
Cu 0.3750 0.3867 0.5117
Cu 0.6133 0.1250 0.9883
Cu 0.8750 0.8633 0.4883

**Energy**: -4.718 eV/atom
**Formation energy from the elements**: 17.2 kJ per mole of atoms
**Polymorph energy (0 for the lowest one)**: 0.375 eV/atom
**Mass density**: 5.795 g/cm³
**M_tot**: 0.0 μB/f.u.

---

[8]
Compound: LaY2Cu
Source: Alexandria
Functional: PBE
Structure: relaxed

Cell: 3.5998 3.5998 8.7599 Å, 90.00 90.00 90.00°
Atoms (fractional coordinates):
La 0.0000 0.0000 0.0000
Y 0.0000 0.0000 0.6020
Y 0.5000 0.5000 0.3096
Cu 0.5000 0.5000 0.7795

**Energy**: -5.551 eV/atom
**Formation energy from the elements**: -6.0 kJ per mole of atoms
**Polymorph energy (0 for the lowest one)**: 0.029 eV/atom
**Mass density**: 5.563 g/cm³
**M_tot**: 0.0 μB/f.u.

---

[9]
Compound: LaY4Cu5
Source: Alexandria
Functional: PBE
Structure: relaxed

Cell: 3.4912 3.4912 17.8174 Å, 90.00 90.00 90.00°
Atoms (fractional coordinates):
La 0.0000 0.0000 0.0000
Y 0.0000 0.0000 0.2055
Y 0.0000 0.0000 0.4017
Y 0.0000 0.0000 0.5983
Y 0.0000 0.0000 0.7945
Cu 0.5000 0.5000 0.1125
Cu 0.5000 0.5000 0.3032
Cu 0.5000 0.5000 0.5000
Cu 0.5000 0.5000 0.6968
Cu 0.5000 0.5000 0.8875

**Energy**: -5.348 eV/atom
**Formation energy from the elements**: -21.4 kJ per mole of atoms
**Mass density**: 6.211 g/cm³
**M_tot**: 0.0 μB/f.u.

---

[10]
Compound: LaY2Cu
Source: Alexandria
Functional: PBE
Structure: relaxed

Cell: 5.4293 5.4293 3.6650 Å, 90.00 90.00 90.00°
Atoms (fractional coordinates):
La 0.0000 0.0000 0.0000
Y 0.0000 0.5000 0.5000
Y 0.5000 0.0000 0.5000
Cu 0.5000 0.5000 0.0000

**Energy**: -5.300 eV/atom
**Formation energy from the elements**: 18.1 kJ per mole of atoms
**Polymorph energy (0 for the lowest one)**: 0.280 eV/atom
**Mass density**: 5.845 g/cm³
**M_tot**: 0.1 μB/f.u.

---

[11]
Compound: LaY2Cu
Source: Alexandria
Functional: PBE
Structure: relaxed

Cell: 5.3163 5.3163 5.3163 Å, 60.00 60.00 60.00°
Atoms (fractional coordinates):
La 0.0000 0.0000 0.0000
Y 0.2500 0.2500 0.2500
Y 0.7500 0.7500 0.7500
Cu 0.5000 0.5000 0.5000

**Energy**: -5.254 eV/atom
**Formation energy from the elements**: 22.5 kJ per mole of atoms
**Polymorph energy (0 for the lowest one)**: 0.325 eV/atom
**Mass density**: 5.943 g/cm³
**M_tot**: 2.1 μB/f.u.

---

[12]
Compound: LaY2Cu
Source: Alexandria
Functional: PBE
Structure: relaxed

Cell: 10.2455 10.2455 10.2455 Å, 20.73 20.73 20.73°
Atoms (fractional coordinates):
La 0.0000 0.0000 0.0000
Y 0.2344 0.2344 0.2344
Y 0.4701 0.4701 0.4701
Cu 0.7384 0.7384 0.7384

**Energy**: -5.453 eV/atom
**Formation energy from the elements**: 3.4 kJ per mole of atoms
**Polymorph energy (0 for the lowest one)**: 0.127 eV/atom
**Mass density**: 5.354 g/cm³
**M_tot**: 0.0 μB/f.u.

---

Q: Among the records above, which one has the lowest energy?
A: number 1

---

Q: Which of these has the highest formation energy from the elements?
A: number 4